(1)
PBE MnHgCl2, relaxed; formation energy without anion corrections = -0.6615 eV/atom; total magnetization = 5.00 μB per formula unit; space-group type = Immm, No. 71; VASP energy = -15.8 eV/f.u.
1.0
3.492 0.000 0.000
0.000 6.785 0.000
0.000 0.000 10.499
Mn Hg Cl
2 2 4
direct
0.000 0.000 0.000
0.500 0.500 0.500
0.000 0.000 0.500
0.500 0.500 0.000
0.000 0.500 0.340
0.000 0.500 0.660
0.500 0.000 0.160
0.500 0.000 0.840

=====

(2)
PBE MnHgCl2, relaxed; formation energy without anion corrections = -0.7020 eV/atom; total magnetization = 5.00 μB per formula unit; space-group type = Cm, No. 8; VASP energy = -16.0 eV/f.u.
1.0
13.475 0.000 0.000
0.000 3.524 0.000
-2.631 0.000 5.733
Mn Hg Cl
2 2 4
direct
0.000 0.000 0.000
0.500 0.500 0.000
0.333 0.500 0.160
0.833 0.000 0.160
0.113 0.500 0.260
0.426 0.000 0.709
0.613 0.000 0.260
0.926 0.500 0.709

=====

Number 1: energy above the most stable polymorph in this dataset 0.52 eV/f.u.. Number 2: energy above the most stable polymorph in this dataset 0.36 eV/f.u..